A) Below is a geometry-optimized Ba2ZrAu structure, with properties calculated at the PBE level.

Results
**ρ**: 5961 kg/m3
**M_tot**: 0.087 μB/atom
**Symmetry**: Immm, No. 71

Cell lengths 10.070, 10.070, 10.070 Å; angles 158.06, 155.72, 32.96 degrees
Sites, in units of the cell vectors:
1 Ba 0.152 0.152 0.000
2 Ba 0.848 0.848 0.000
3 Zr 0.500 0.000 0.500
4 Au 0.000 0.500 0.500

***

B) Below is a geometry-optimized Ba2ZrAu structure, with properties calculated at the PBE level.

Results
**ρ**: 6564 kg/m3
**M_tot**: 1.100 μB/atom
**Symmetry**: Fm-3m, No. 225

Cell lengths 5.861, 5.861, 5.861 Å; angles 60.00, 60.00, 60.00 degrees
Sites, in units of the cell vectors:
1 Ba 0.250 0.250 0.250
2 Ba 0.750 0.750 0.750
3 Zr 0.000 0.000 0.000
4 Au 0.500 0.500 0.500

***

Energies in eV/atom, measured from the most stable structure: A) 0.000; B) 0.356.

***

A) Below is a geometry-optimized TaMo2Ir structure, with properties calculated at the PBE level.

Results
**ρ**: 14554 kg/m3
**M_tot**: 0.000 μB/atom
**Symmetry**: Cmmm, No. 65

Cell lengths 5.057, 5.057, 2.756 Å; angles 90.00, 90.00, 113.84 degrees
Sites, in units of the cell vectors:
1 Ta 0.000 0.000 0.000
2 Mo 0.000 0.500 0.500
3 Mo 0.500 0.000 0.500
4 Ir 0.500 0.500 0.000

***

B) Below is a geometry-optimized TaMo2Ir structure, with properties calculated at the PBE level.

Results
**ρ**: 14617 kg/m3
**M_tot**: 0.000 μB/atom
**Symmetry**: C2/m, No. 12

Cell lengths 5.270, 5.270, 2.764 Å; angles 99.53, 99.53, 117.99 degrees
Sites, in units of the cell vectors:
1 Ta 0.000 0.000 0.000
2 Mo 0.000 0.500 0.500
3 Mo 0.500 0.000 0.500
4 Ir 0.500 0.500 0.000

***

Energies in eV/atom, measured from the most stable structure: A) 0.113; B) 0.000.

***

A) Below is a geometry-optimized La2EuGe structure, with properties calculated at the PBE level.

Results
**ρ**: 7116 kg/m3
**M_tot**: 1.917 μB/atom
**Symmetry**: P4/mmm, No. 123

Cell lengths 4.941, 4.941, 4.802 Å; angles 90.00, 90.00, 90.00 degrees
Sites, in units of the cell vectors:
1 La 0.000 0.500 0.000
2 La 0.500 0.000 0.000
3 Eu 0.000 0.000 0.500
4 Ge 0.500 0.500 0.500

***

B) Below is a geometry-optimized La2EuGe structure, with properties calculated at the PBE level.

Results
**ρ**: 6413 kg/m3
**M_tot**: 2.153 μB/atom
**Symmetry**: P4/mmm, No. 123

Cell lengths 4.004, 4.004, 8.113 Å; angles 90.00, 90.00, 90.00 degrees
Sites, in units of the cell vectors:
1 La 0.000 0.000 0.187
2 La 0.000 0.000 0.813
3 Eu 0.500 0.500 0.500
4 Ge 0.500 0.500 0.000

***

Energies in eV/atom, measured from the most stable structure: A) 0.019; B) 0.000.

***

A) Below is a geometry-optimized NaH3Pd structure, with properties calculated at the PBE level.

Results
**ρ**: 4196 kg/m3
**M_tot**: 0.000 μB/atom
**Symmetry**: P-1, No. 2

Cell lengths 5.069, 5.070, 5.536 Å; angles 90.05, 117.12, 119.93 degrees
Sites, in units of the cell vectors:
1 Na 0.227 0.114 0.341
2 Na 0.773 0.886 0.659
3 H 0.133 0.650 0.200
4 H 0.284 0.934 0.800
5 H 0.451 0.517 0.800
6 H 0.549 0.483 0.200
7 H 0.716 0.066 0.200
8 H 0.867 0.350 0.800
9 Pd 0.335 0.668 0.003
10 Pd 0.665 0.332 0.997

***

B) Below is a geometry-optimized NaH3Pd structure, with properties calculated at the PBE level.

Results
**ρ**: 4053 kg/m3
**M_tot**: 0.000 μB/atom
**Symmetry**: C2/c, No. 15

Cell lengths 6.510, 6.510, 5.158 Å; angles 94.19, 94.19, 86.29 degrees
Sites, in units of the cell vectors:
1 Na 0.074 0.316 0.249
2 Na 0.316 0.074 0.749
3 Na 0.684 0.926 0.251
4 Na 0.926 0.684 0.751
5 H 0.007 0.255 0.817
6 H 0.204 0.664 0.550
7 H 0.255 0.007 0.317
8 H 0.319 0.506 0.077
9 H 0.336 0.796 0.950
10 H 0.494 0.681 0.423
11 H 0.506 0.319 0.577
12 H 0.664 0.204 0.050
13 H 0.681 0.494 0.923
14 H 0.745 0.993 0.683
15 H 0.796 0.336 0.450
16 H 0.993 0.745 0.183
17 Pd 0.253 0.747 0.250
18 Pd 0.421 0.579 0.750
19 Pd 0.579 0.421 0.250
20 Pd 0.747 0.253 0.750

***

Energies in eV/atom, measured from the most stable structure: A) 0.000; B) 0.042.